(1)
Compound: PmSn3Au
Source: the Alexandria database
Functional: PBE
Structure: optimized geometry

Output
V (Å³/atom): 25.6
E_form (kJ/mol of atoms): -42.61
Crystal system: orthorhombic

Cell and atoms, written as extended XYZ:
```
20
Lattice="12.840 0.000 0.000 0.000 6.309 0.000 0.000 0.000 6.324" Properties=species:S:1:pos:R:3 pbc="T T T"
Pm 2.488 0.034 1.581
Pm 2.488 3.121 4.743
Pm 10.352 3.188 1.581
Pm 10.352 6.276 4.743
Sn 0.009 1.577 0.000
Sn 0.009 1.577 3.162
Sn 3.172 3.237 1.581
Sn 3.172 6.227 4.743
Sn 5.562 4.008 4.743
Sn 5.562 5.457 1.581
Sn 7.278 0.853 4.743
Sn 7.278 2.302 1.581
Sn 9.669 0.082 1.581
Sn 9.669 3.072 4.743
Sn 12.831 4.732 0.000
Sn 12.831 4.732 3.162
Au 4.981 1.577 0.000
Au 4.981 1.577 3.162
Au 7.860 4.732 0.000
Au 7.860 4.732 3.162
```

***

(2)
Compound: Sc2TaTiIr
Source: the Alexandria database
Functional: PBE
Structure: optimized geometry

Output
V (Å³/atom): 22.7
E_form (kJ/mol of atoms): 106.07
Crystal system: tetragonal

Cell and atoms, written as extended XYZ:
```
5
Lattice="4.942 0.000 0.000 0.000 4.942 0.000 0.000 0.000 4.640" Properties=species:S:1:pos:R:3 pbc="T T T"
Sc 0.000 2.471 0.000
Sc 2.471 0.000 0.000
Ta 0.000 0.000 0.000
Ti 0.000 0.000 2.320
Ir 2.471 2.471 2.320
```

***

(3)
Compound: Pr2ErTh3Te6
Source: the Alexandria database
Functional: PBE
Structure: optimized geometry

Output
V (Å³/atom): 31.4
ΔE_f (raw) (meV per atom): -1171
Crystal system: monoclinic

Cell and atoms, written as extended XYZ:
```
12
Lattice="9.945 -2.175 0.000 9.945 2.175 0.000 -2.846 0.000 8.717" Properties=species:S:1:pos:R:3 pbc="T T T"
Pr 2.362 0.000 2.918
Pr 14.682 0.000 5.799
Er 9.945 0.000 0.000
Th 1.038 0.000 7.318
Th 8.522 0.000 4.359
Th 16.005 0.000 1.399
Te -2.110 0.000 6.645
Te 5.444 0.000 3.616
Te 4.148 0.000 8.013
Te 12.895 0.000 0.704
Te 11.600 0.000 5.101
Te 19.154 0.000 2.072
```

***

(4)
Compound: Tc2MoRu
Source: the Alexandria database
Functional: PBE
Structure: optimized geometry

Output
V (Å³/atom): 15.0
E_form (kJ/mol of atoms): 21.12
Crystal system: orthorhombic

Cell and atoms, written as extended XYZ:
```
4
Lattice="-1.554 2.197 4.390 1.554 -2.197 4.390 1.554 2.197 -4.390" Properties=species:S:1:pos:R:3 pbc="T T T"
Tc 0.000 0.000 0.000
Tc 0.000 2.197 2.121
Mo 1.554 0.000 2.000
Ru 0.000 0.000 4.095
```

***

(5)
Compound: Bi2Te7Cl8
Source: the Alexandria database
Functional: PBE
Structure: optimized geometry

Output
V (Å³/atom): 33.3
ΔE_f (raw) (meV per atom): -537
Crystal system: triclinic

Cell and atoms, written as extended XYZ:
```
34
Lattice="5.592 0.000 0.000 -1.584 13.538 0.000 -1.255 -4.112 14.960" Properties=species:S:1:pos:R:3 pbc="T T T"
Bi -0.288 5.090 1.590
Bi -0.305 9.113 3.358
Bi 3.057 0.313 11.602
Bi 3.041 4.336 13.369
Te -1.378 6.564 8.157
Te -1.348 10.265 9.749
Te -0.153 -3.621 14.031
Te 0.339 0.306 6.980
Te 0.486 4.328 8.506
Te -0.072 7.698 13.975
Te 0.527 8.221 9.928
Te 2.226 1.205 5.032
Te 2.824 1.728 0.984
Te 2.267 5.098 6.454
Te 2.413 9.120 7.980
Te 2.906 13.047 0.929
Te 4.100 -0.839 5.211
Te 4.130 2.862 6.803
Cl -2.115 6.840 12.177
Cl -0.725 6.356 4.050
Cl -0.808 -0.463 14.370
Cl -0.772 9.917 5.798
Cl 0.542 7.575 0.855
Cl 0.662 0.751 10.913
Cl 0.363 11.642 2.889
Cl 0.661 4.725 12.507
Cl 2.092 4.701 2.453
Cl 2.390 -2.216 12.071
Cl 2.091 8.675 4.047
Cl 2.210 1.851 14.104
Cl 3.525 -0.490 9.161
Cl 3.560 9.889 0.590
Cl 3.478 3.070 10.910
Cl 4.868 2.586 2.782
```

***

(6)
Compound: NbIrPt
Source: the Alexandria database
Functional: PBE
Structure: optimized geometry

Output
V (Å³/atom): 16.2
E_form (kJ/mol of atoms): -30.72
Crystal system: hexagonal

Cell and atoms, written as extended XYZ:
```
6
Lattice="4.469 0.000 0.000 -2.235 3.871 0.000 0.000 0.000 5.608" Properties=species:S:1:pos:R:3 pbc="T T T"
Nb 0.000 0.000 0.000
Nb 0.000 0.000 2.804
Ir 0.000 2.580 1.402
Ir 2.235 1.290 4.206
Pt 0.000 2.580 4.206
Pt 2.235 1.290 1.402
```

***

(7)
Compound: CeHoCo
Source: the Alexandria database
Functional: PBE
Structure: optimized geometry

Output
V (Å³/atom): 23.1
E_form (kJ/mol of atoms): -6.24
Crystal system: tetragonal

Cell and atoms, written as extended XYZ:
```
3
Lattice="-1.675 1.675 6.185 1.675 -1.675 6.185 1.675 1.675 -6.185" Properties=species:S:1:pos:R:3 pbc="T T T"
Ce 0.000 0.000 0.000
Ho 0.000 0.000 9.167
Co 0.000 0.000 4.674
```

***

(8)
Compound: Ta2HPtW
Source: the Alexandria database
Functional: PBE
Structure: optimized geometry

Output
V (Å³/atom): 14.0
Raw total energy (eV per atom): -9.358
Crystal system: tetragonal

Cell and atoms, written as extended XYZ:
```
5
Lattice="4.373 0.000 0.000 0.000 4.373 0.000 0.000 0.000 3.665" Properties=species:S:1:pos:R:3 pbc="T T T"
Ta 0.000 2.186 0.000
Ta 2.186 0.000 0.000
H 0.000 0.000 0.000
Pt 0.000 0.000 1.832
W 2.186 2.186 1.832
```